--- a ---
# BaTmSb2 | Alexandria via LeMat-Bulk | PBE | relaxed
data_BaTmSb2
_cell_length_a 4.6645
_cell_length_b 4.6645
_cell_length_c 22.8569
_cell_angle_alpha 90.00
_cell_angle_beta 90.00
_cell_angle_gamma 120.00
_symmetry_space_group_name_H-M 'R -3 m'
_symmetry_Int_Tables_number 166
_symmetry_space_group_name_Hall '-R 3 2"'
loop_
_atom_site_label
_atom_site_fract_x
_atom_site_fract_y
_atom_site_fract_z
Ba1 0.0000 0.0000 0.0000
Tm1 0.0000 0.0000 0.5000
Sb1 0.0000 0.0000 0.2339
# Total magnetic moment ... 0.00 μB per atom



--- b ---
# BaTmSb2 | Alexandria via LeMat-Bulk | PBE | relaxed
data_BaTmSb2
_cell_length_a 4.5041
_cell_length_b 4.5041
_cell_length_c 24.5310
_cell_angle_alpha 90.00
_cell_angle_beta 90.00
_cell_angle_gamma 120.00
_symmetry_space_group_name_H-M 'R 3 m'
_symmetry_Int_Tables_number 160
_symmetry_space_group_name_Hall 'R 3 -2"'
loop_
_atom_site_label
_atom_site_fract_x
_atom_site_fract_y
_atom_site_fract_z
Ba1 0.0000 0.0000 0.0000
Tm1 0.0000 0.0000 0.8288
Sb1 0.0000 0.0000 0.2330
Sb2 0.0000 0.0000 0.4283
# Total magnetic moment ... 0.00 μB per atom



Q: Which of them is the most stable? A: a.